Entry 1:
{
  "formula": "AcPmPrMg",
  "functional": "PBE",
  "state": "optimized geometry",
  "lattice": [[5.821, 0.000, 0.000], [2.911, 5.042, 0.000], [2.911, 1.681, 4.753]],
  "species": ["Pm", "Ac", "Pr", "Mg"],
  "frac_coords": [[0.500, 0.500, 0.500], [0.250, 0.250, 0.250], [0.750, 0.750, 0.750], [0.000, 0.000, 0.000]],
  "de_polymorph_mev_per_atom": 96,
  "dos_at_fermi_per_ev_atom": 1.449,
  "ef_mev_per_atom": 57,
  "crystal_system": "cubic"
}


Entry 2:
{
  "formula": "AcPmPrMg",
  "functional": "PBE",
  "state": "optimized geometry",
  "lattice": [[-1.065, -2.336, 2.914], [3.264, 0.890, 1.907], [-4.277, 7.004, 4.051]],
  "species": ["Ac", "Pr", "Mg", "Pm"],
  "frac_coords": [[0.000, 0.000, 0.074], [0.500, 0.500, 0.785], [0.000, 0.000, 0.567], [0.500, 0.500, 0.358]],
  "de_polymorph_mev_per_atom": 0,
  "dos_at_fermi_per_ev_atom": 1.151,
  "ef_mev_per_atom": -39,
  "crystal_system": "tetragonal"
}


Entry 3:
{
  "formula": "AcPmMgPt",
  "functional": "PBE",
  "state": "optimized geometry",
  "lattice": [[5.390, 0.000, 0.000], [2.695, 4.668, 0.000], [2.695, 1.556, 4.401]],
  "species": ["Ac", "Pm", "Pt", "Mg"],
  "frac_coords": [[0.500, 0.500, 0.500], [0.000, 0.000, 0.000], [0.750, 0.750, 0.750], [0.250, 0.250, 0.250]],
  "dos_at_fermi_per_ev_atom": 0.909,
  "ef_mev_per_atom": -441,
  "crystal_system": "cubic"
}


Entry 4:
{
  "formula": "AcPmPuMg",
  "functional": "PBE",
  "state": "optimized geometry",
  "lattice": [[-4.653, -1.971, 2.654], [-3.226, -3.997, -2.488], [-0.064, -5.316, 2.077]],
  "species": ["Pu", "Pm", "Mg", "Ac"],
  "frac_coords": [[0.500, 0.500, 0.500], [0.250, 0.250, 0.250], [0.000, 0.000, 0.000], [0.750, 0.750, 0.750]],
  "dos_at_fermi_per_ev_atom": 4.074,
  "ef_mev_per_atom": 178,
  "crystal_system": "cubic"
}


Entry 5:
{
  "formula": "Ac2PmMgSe5",
  "functional": "PBE",
  "state": "optimized geometry",
  "lattice": [[-0.362, 4.014, -1.462], [-5.629, -0.113, 7.367], [9.895, 3.667, 7.617]],
  "species": ["Ac", "Se", "Se", "Ac", "Pm", "Se", "Se", "Mg", "Se", "Se", "Mg", "Se", "Se", "Se", "Se", "Ac", "Ac", "Pm"],
  "frac_coords": [[0.887, 0.774, 0.189], [0.366, 0.731, 0.001], [0.713, 0.426, 0.167], [0.864, 0.728, 0.807], [0.203, 0.406, 0.011], [0.634, 0.269, 0.501], [0.493, 0.985, 0.773], [0.467, 0.933, 0.458], [0.287, 0.574, 0.667], [0.046, 0.091, 0.062], [0.533, 0.067, 0.958], [0.318, 0.636, 0.356], [0.954, 0.909, 0.562], [0.682, 0.364, 0.856], [0.507, 0.015, 0.273], [0.113, 0.226, 0.689], [0.136, 0.272, 0.307], [0.797, 0.594, 0.511]],
  "dos_at_fermi_per_ev_atom": 0.201,
  "energy_ev_per_cell": -96.26,
  "crystal_system": "orthorhombic"
}


Entry 6:
{
  "formula": "Ac3Pm3MgSe8",
  "functional": "PBE",
  "state": "optimized geometry",
  "lattice": [[-2.700, -5.644, 5.785], [5.398, -2.431, -6.129], [2.823, 5.167, 6.359]],
  "species": ["Ac", "Se", "Se", "Mg", "Pm", "Se", "Ac", "Pm", "Se", "Se", "Ac", "Pm", "Se", "Se", "Se"],
  "frac_coords": [[0.000, 0.500, 0.000], [0.754, 0.989, 0.725], [0.256, 0.512, 0.267], [0.000, 0.000, 0.500], [0.000, 0.500, 0.500], [0.235, 0.989, 0.725], [0.500, 0.500, 0.000], [0.500, 0.500, 0.500], [0.235, 0.470, 0.725], [0.765, 0.011, 0.275], [0.000, 0.000, 0.000], [0.500, 0.000, 0.500], [0.744, 0.488, 0.733], [0.246, 0.011, 0.275], [0.765, 0.530, 0.275]],
  "dos_at_fermi_per_ev_atom": 0.210,
  "energy_ev_per_cell": -83.00,
  "crystal_system": "trigonal"
}